1.
{
  "formula": "LaPm3In3",
  "functional": "PBE",
  "state": "relaxed",
  "n_ef_per_ev_cell": 32.5,
  "formation_enthalpy_0k_mev_per_atom": -346,
  "cell": [[9.6047, 0.0000, 0.0000], [0.0000, 9.6047, 0.0000], [0.0000, 0.0000, 9.6047]],
  "species": ["La", "La", "La", "La", "Pm", "Pm", "Pm", "Pm", "Pm", "Pm", "Pm", "Pm", "Pm", "Pm", "Pm", "Pm", "In", "In", "In", "In", "In", "In", "In", "In", "In", "In", "In", "In"],
  "fractional_positions": [[0.0728, 0.4272, 0.5728], [0.4272, 0.5728, 0.0728], [0.5728, 0.0728, 0.4272], [0.9272, 0.9272, 0.9272], [0.0806, 0.5806, 0.9194], [0.1763, 0.1763, 0.1763], [0.1769, 0.8231, 0.3231], [0.3231, 0.1769, 0.8231], [0.3237, 0.8237, 0.6763], [0.4194, 0.4194, 0.4194], [0.5806, 0.9194, 0.0806], [0.6763, 0.3237, 0.8237], [0.6769, 0.6769, 0.6769], [0.8231, 0.3231, 0.1769], [0.8237, 0.6763, 0.3237], [0.9194, 0.0806, 0.5806], [0.0009, 0.2571, 0.8804], [0.1196, 0.5009, 0.2429], [0.2429, 0.1196, 0.5009], [0.2571, 0.8804, 0.0009], [0.3804, 0.4991, 0.7429], [0.4991, 0.7429, 0.3804], [0.5009, 0.2429, 0.1196], [0.6196, 0.9991, 0.7571], [0.7429, 0.3804, 0.4991], [0.7571, 0.6196, 0.9991], [0.8804, 0.0009, 0.2571], [0.9991, 0.7571, 0.6196]]
}


2.
{
  "formula": "PmNdBiPd",
  "functional": "PBE",
  "state": "relaxed",
  "n_ef_per_ev_cell": 12.7,
  "formation_enthalpy_0k_mev_per_atom": -660,
  "cell": [[7.5871, 0.0000, 0.0000], [0.0000, 7.5871, 0.0000], [0.0000, 0.0000, 7.5871]],
  "species": ["Pm", "Pm", "Pm", "Pm", "Nd", "Nd", "Nd", "Nd", "Bi", "Bi", "Bi", "Bi", "Pd", "Pd", "Pd", "Pd"],
  "fractional_positions": [[0.0000, 0.0000, 0.0000], [0.0000, 0.5000, 0.5000], [0.5000, 0.0000, 0.5000], [0.5000, 0.5000, 0.0000], [0.0000, 0.0000, 0.5000], [0.0000, 0.5000, 0.0000], [0.5000, 0.0000, 0.0000], [0.5000, 0.5000, 0.5000], [0.2500, 0.2500, 0.2500], [0.2500, 0.7500, 0.7500], [0.7500, 0.2500, 0.7500], [0.7500, 0.7500, 0.2500], [0.2500, 0.2500, 0.7500], [0.2500, 0.7500, 0.2500], [0.7500, 0.2500, 0.2500], [0.7500, 0.7500, 0.7500]]
}


3.
{
  "formula": "Be2CO",
  "functional": "PBE",
  "state": "relaxed",
  "n_ef_per_ev_cell": 10.6,
  "cell": [[4.8443, 0.0000, 0.0000], [0.0000, 4.8443, 0.0000], [0.0000, 0.0000, 4.8443]],
  "species": ["Be", "Be", "Be", "Be", "Be", "Be", "Be", "Be", "C", "C", "C", "C", "O", "O", "O", "O"],
  "fractional_positions": [[0.2500, 0.2500, 0.2500], [0.2500, 0.2500, 0.7500], [0.2500, 0.7500, 0.2500], [0.2500, 0.7500, 0.7500], [0.7500, 0.2500, 0.2500], [0.7500, 0.2500, 0.7500], [0.7500, 0.7500, 0.2500], [0.7500, 0.7500, 0.7500], [0.0000, 0.0000, 0.0000], [0.0000, 0.5000, 0.5000], [0.5000, 0.0000, 0.5000], [0.5000, 0.5000, 0.0000], [0.0000, 0.0000, 0.5000], [0.0000, 0.5000, 0.0000], [0.5000, 0.0000, 0.0000], [0.5000, 0.5000, 0.5000]]
}


4.
{
  "formula": "CaNi3Cl",
  "functional": "PBE",
  "state": "relaxed",
  "n_ef_per_ev_cell": 49.4,
  "cell": [[4.8250, 0.0000, 0.0000], [0.0000, 4.8250, 0.0000], [0.0000, 0.0000, 4.8250]],
  "species": ["Ca", "Ni", "Ni", "Ni", "Cl"],
  "fractional_positions": [[0.0000, 0.0000, 0.0000], [0.0000, 0.0000, 0.5000], [0.0000, 0.5000, 0.0000], [0.5000, 0.0000, 0.0000], [0.5000, 0.5000, 0.5000]]
}


For each record above, in turn, the calculated uncorrected energy values are -29.817, -21.233, -19.125, -13.547 eV/f.u..
For each record above, in turn, the calculated magnetic moment values are 0.00, 0.92, 0.00, 1.01 μB per formula unit.